# Ce2Ge5Au3 | Alexandria via LeMat-Bulk | PBE | optimized geometry
# energy: -4.894 eV/atom
# energy relative to the elements: -40 kJ/mol of atoms
# DOS(E_F): 62.8 states/eV per cell
data_Ce2Ge5Au3
_chemical_formula_sum 'Ce8 Ge20 Au12'
_symmetry_space_group_name_H-M 'I b a m'
_symmetry_Int_Tables_number 72
_symmetry_space_group_name_Hall '-I 2 2c'
_cell_length_a 10.142
_cell_length_b 12.834
_cell_length_c 6.552
_cell_angle_alpha 90.00
_cell_angle_beta 90.00
_cell_angle_gamma 90.00
loop_
_atom_site_label
_atom_site_type_symbol
_atom_site_fract_x
_atom_site_fract_y
_atom_site_fract_z
Ce1 Ce 0.239 0.121 0.000
Ge1 Ge 0.000 0.000 0.250
Ge2 Ge 0.000 0.263 0.250
Ge3 Ge 0.138 0.383 0.000
Au1 Au 0.000 0.500 0.250
Au2 Au 0.118 0.134 0.500